The following is a GGA-PBE calculation of SrHg after structural relaxation, from Alexandria via LeMat-Bulk.

Formation energy from the elements = -259 meV/atom
Uncorrected energy = -1.250 eV per atom
Total magnetization = 0.00 μB/f.u.

Cell lengths 12.021, 12.021, 4.392 Å; angles 90.00, 90.00, 90.00 degrees
Positions (direct):
Hg: 0.434 0.337 0.500
Hg: 0.934 0.837 0.000
Hg: 0.337 0.566 0.500
Sr: 0.645 0.148 0.500
Sr: 0.352 0.145 0.000
Hg: 0.663 0.434 0.500
Sr: 0.355 0.852 0.500
Hg: 0.066 0.163 0.000
Sr: 0.852 0.645 0.500
Sr: 0.145 0.648 0.000
Hg: 0.837 0.066 0.000
Sr: 0.855 0.352 0.000
Hg: 0.566 0.663 0.500
Sr: 0.148 0.355 0.500
Hg: 0.163 0.934 0.000
Sr: 0.648 0.855 0.000